Cs2KF2 | SCAN | PBEsol geometry

The value obtained for the energy relative to the elements, uncorrected is -2.059 eV/atom.

a b c (Å): 5.1408 5.1408 18.1092
angles (deg): 90.00 90.00 90.00
Closest atoms and distances in Å follow each position.
Space group I4/mmm (No. 139)
Asymmetric unit:
Cs1 0.0000 0.0000 0.1898 [4 per cell]  4 F 2.79
K1 0.0000 0.0000 0.5000 [2 per cell]  8 Cs 5.00, 4 K 5.14, 8 F 5.21
F1 0.0000 0.5000 0.2500 [4 per cell]  4 Cs 2.79